Record 1
# NaTcHg2

A PBEsol-optimized structure of NaTcHg2 (SCAN, Alexandria).

Cell lengths 4.7391, 4.7391, 4.7391 Å; angles 60.00, 60.00, 60.00 degrees
With the nearest neighbours (Å) after each atom.
Element x y z (fractional)
Na (0.0000, 0.0000, 0.0000)  8 Hg 2.90
Hg (0.2500, 0.2500, 0.2500)  4 Na 2.90, 4 Tc 2.90
Hg (0.7500, 0.7500, 0.7500)  4 Na 2.90, 4 Tc 2.90
Tc (0.5000, 0.5000, 0.5000)  8 Hg 2.90

Crystal system: cubic
Spin magnetization, μB per cell: 2.677
Mass density, kg/m³: 11521
Volume, Å³ per cell: 75
Formation energy, eV per atom: 0.397

Record 2
# MnNiN2

A PBEsol-optimized structure of MnNiN2 (SCAN, Alexandria).

Cell lengths 2.5758, 2.5758, 11.8703 Å; angles 90.00, 90.00, 120.00 degrees
With the nearest neighbours (Å) after each atom.
Element x y z (fractional)
N (0.0000, 0.0000, 0.1515)  1 Ni 1.80, 3 Mn 1.89
N (0.0000, 0.0000, 0.8485)  1 Ni 1.80, 3 Mn 1.89
N (0.0000, 0.0000, 0.3485)  1 Ni 1.80, 3 Mn 1.89
N (0.0000, 0.0000, 0.6515)  1 Ni 1.80, 3 Mn 1.89
Ni (0.0000, 0.0000, 0.0000)  2 N 1.80
Ni (0.0000, 0.0000, 0.5000)  2 N 1.80
Mn (0.6667, 0.3333, 0.7500)  6 N 1.89
Mn (0.3333, 0.6667, 0.2500)  6 N 1.89

Formation energy (no corrections), meV per atom: -92
Crystal system: hexagonal
Spin magnetization, μB per cell: 0.001
Mass density, kg/m³: 6897
Volume, Å³ per cell: 68

Record 3
# CuTc2Br

A PBEsol-optimized structure of CuTc2Br (SCAN, Alexandria).

Cell lengths 2.8875, 4.4090, 4.9376 Å; angles 100.93, 90.00, 109.11 degrees
With the nearest neighbours (Å) after each atom.
Element x y z (fractional)
Cu (0.5000, 0.0000, 0.0000)  6 Tc 2.54-2.59
Tc (0.2500, 0.4999, 0.2217)  3 Cu 2.54-2.59, 2 Tc 2.62, 3 Br 2.68-2.72
Tc (0.7500, 0.5001, 0.7783)  3 Cu 2.54-2.59, 2 Tc 2.62, 3 Br 2.68-2.72
Br (0.0000, 0.0000, 0.5000)  6 Tc 2.68-2.72, 4 Cu 2.86, 2 Br 2.89

Formation energy (no corrections), meV per atom: 849
Crystal system: monoclinic
Spin magnetization, μB per cell: 0.000
Mass density, kg/m³: 9687
Volume, Å³ per cell: 58